5
Lattice="6.182 0.000 0.000 0.000 6.182 0.000 0.000 0.000 4.463" Properties=species:S:1:pos:R:3 comment="Ba2PPdAu, optimized geometry, DFT PBE-GGA" formation_enthalpy_0k_ev_per_fu=-3.3 sg="No. 123" pbc="T T T"
Pd 0.000 0.000 2.232
Ba 0.000 3.091 0.000
Au 3.091 3.091 2.232
Ba 3.091 0.000 0.000
P 0.000 0.000 0.000


8
Lattice="4.545 0.000 0.000 0.000 4.545 0.000 2.272 2.272 9.655" Properties=species:S:1:pos:R:3 comment="CaHfV2, optimized geometry, DFT PBE-GGA" formation_enthalpy_0k_ev_per_fu=4.7 sg="No. 141" de_polymorph_ev_per_atom=0.476 pbc="T T T"
V 4.544 1.136 2.414
Hf 4.545 2.272 4.828
V 3.409 2.273 7.242
V 5.681 2.272 7.242
Ca 2.272 2.272 0.000
Ca 2.272 4.545 4.828
Hf 0.000 0.000 0.000
V 4.545 3.409 2.414


10
Lattice="5.263 0.000 0.000 0.000 6.907 -0.293 -2.631 -2.641 8.300" Properties=species:S:1:pos:R:3 comment="Ac3Hg7, optimized geometry, DFT PBE-GGA" formation_enthalpy_0k_ev_per_fu=-4.0 sg="No. 12" pbc="T T T"
Hg 0.000 -0.149 3.229
Hg 0.000 2.283 6.657
Ac 0.000 3.436 3.189
Ac 2.631 0.831 4.817
Hg 2.631 5.388 1.570
Hg 2.631 1.983 1.350
Hg 0.000 3.454 -0.147
Hg 0.000 -1.121 6.436
Ac 0.000 0.000 0.000
Hg 2.631 4.415 4.778


5
Lattice="4.008 0.000 0.000 0.000 4.008 0.000 0.000 0.000 4.008" Properties=species:S:1:pos:R:3 comment="V3AuC, optimized geometry, DFT PBE-GGA" formation_enthalpy_0k_ev_per_fu=-1.4 sg="No. 221" de_polymorph_ev_per_atom=0.000 pbc="T T T"
V 0.000 0.000 2.004
C 0.000 0.000 0.000
V 2.004 0.000 0.000
Au 2.004 2.004 2.004
V 0.000 2.004 0.000